The following is a DFT calculation (GGA-PBE) of an optimized crystal structure of Pm2Y8Tl.

abc: 5.596 6.511 10.171
angles: 94.83 105.97 90.00
Fractional positions:
Pm  0.756  0.665  0.513
Pm  0.244  0.335  0.487
Y  0.422  0.400  0.844
Y  0.661  0.124  0.321
Y  0.847  0.193  0.693
Y  0.956  0.733  0.912
Y  0.153  0.807  0.307
Y  0.339  0.876  0.679
Y  0.578  0.600  0.156
Y  0.044  0.267  0.088
Tl  0.500  0.000  0.000

Calculated values
Energy relative to the elements (eV per atom): -0.04
Final energy (eV/atom): -5.818
Energy above the lowest structure with this stoichiometry (eV per formula unit): 0.00